# LiCaCo2

An optimized crystal structure of LiCaCo2 (PBEsol, Alexandria).

Cell: 4.3986 4.3986 4.3986 Å, 60.00 60.00 60.00°
Last column: nearest neighbours and their distance in Å.
Sites, in units of the cell vectors:
Ca 0.0000 0.0000 0.0000  8 Co 2.69
Co 0.2500 0.2500 0.2500  4 Li 2.69, 4 Ca 2.69
Co 0.7500 0.7500 0.7500  4 Li 2.69, 4 Ca 2.69
Li 0.5000 0.5000 0.5000  8 Co 2.69

Values from the calculation:
ΔE_f (eV/atom): 0.708
SG: Fm-3m, No. 225
Offset from the most stable computed form (meV/atom): 397.9

=====

# CaMg2Co

An optimized crystal structure of CaMg2Co (PBEsol, Alexandria).

Cell: 3.1877 4.9255 5.9670 Å, 114.38 105.49 90.00°
Last column: nearest neighbours and their distance in Å.
Sites, in units of the cell vectors:
Ca 0.5000 0.0000 0.0000  4 Co 2.93, 2 Ca 3.19, 4 Mg 3.21
Co 0.0000 0.5000 0.0000  4 Mg 2.60
Mg 0.6978 0.6978 0.3956  2 Co 2.60
Mg 0.3022 0.3022 0.6044  2 Co 2.60

Values from the calculation:
ΔE_f (eV/atom): 0.155
SG: Immm, No. 71

=====

# Ca2MgCo

An optimized crystal structure of Ca2MgCo (PBEsol, Alexandria).

Cell: 5.0079 5.0079 5.0079 Å, 60.00 60.00 60.00°
Last column: nearest neighbours and their distance in Å.
Sites, in units of the cell vectors:
Ca 0.0000 0.0000 0.0000  4 Mg 3.07, 4 Ca 3.07
Ca 0.7500 0.7500 0.7500  4 Co 3.07, 4 Ca 3.07
Co 0.5000 0.5000 0.5000  4 Ca 3.07, 4 Mg 3.07
Mg 0.2500 0.2500 0.2500  4 Co 3.07, 4 Ca 3.07

Values from the calculation:
ΔE_f (eV/atom): 0.400
SG: F-43m, No. 216

=====

# CaMg2Co

An optimized crystal structure of CaMg2Co (PBEsol, Alexandria).

Cell: 3.2625 3.2625 7.7516 Å, 90.00 90.00 90.00°
Last column: nearest neighbours and their distance in Å.
Sites, in units of the cell vectors:
Ca 0.0000 0.0000 0.5577  4 Co 2.93, 1 Mg 2.99, 4 Ca 3.26
Co 0.5000 0.5000 0.7910  4 Mg 2.59
Mg 0.0000 0.0000 0.9440  4 Co 2.59
Mg 0.5000 0.5000 0.2073  8 Mg 3.08-3.26, 1 Co 3.23

Values from the calculation:
ΔE_f (eV/atom): 0.177
SG: P4mm, No. 99

=====

# CaMg14CoO16

An optimized crystal structure of CaMg14CoO16 (PBEsol, Alexandria).

Cell: 4.2687 8.5168 8.5168 Å, 90.00 90.00 90.00°
Last column: nearest neighbours and their distance in Å.
Sites, in units of the cell vectors:
Ca 0.0000 0.0000 0.0000  6 O 2.13-2.24
Mg 0.0000 0.5000 0.0000  6 O 2.02-2.13
Mg 0.0000 0.0000 0.5000  6 O 2.02-2.13
Mg 0.5000 0.2557 0.0000  6 O 2.08-2.18
Mg 0.5000 0.7443 0.0000  6 O 2.08-2.18
Mg 0.5000 0.2516 0.5000  6 O 2.12-2.14
Mg 0.5000 0.7484 0.5000  6 O 2.12-2.14
Mg 0.5000 0.0000 0.2557  6 O 2.08-2.18
Mg 0.5000 0.5000 0.2516  6 O 2.12-2.14
Mg 0.5000 0.0000 0.7443  6 O 2.08-2.18
Mg 0.5000 0.5000 0.7484  6 O 2.12-2.14
Mg 0.0000 0.2539 0.2539  6 O 2.10-2.16
Mg 0.0000 0.7461 0.2539  6 O 2.10-2.16
Mg 0.0000 0.2539 0.7461  6 O 2.10-2.16
Mg 0.0000 0.7461 0.7461  6 O 2.10-2.16
Co 0.0000 0.5000 0.5000  6 O 2.12-2.13
O 0.0000 0.0000 0.2632  5 Mg 2.02-2.16, 1 Ca 2.24
O 0.0000 0.5000 0.2505  5 Mg 2.10-2.13, 1 Co 2.12
O 0.0000 0.0000 0.7368  5 Mg 2.02-2.16, 1 Ca 2.24
O 0.0000 0.5000 0.7495  5 Mg 2.10-2.13, 1 Co 2.12
O 0.5000 0.2506 0.2506  6 Mg 2.12-2.13
O 0.5000 0.7494 0.2506  6 Mg 2.12-2.13
O 0.5000 0.2506 0.7494  6 Mg 2.12-2.13
O 0.5000 0.7494 0.7494  6 Mg 2.12-2.13
O 0.5000 0.0000 0.0000  2 Ca 2.13, 4 Mg 2.18
O 0.5000 0.5000 0.0000  6 Mg 2.08-2.14
O 0.5000 0.0000 0.5000  6 Mg 2.08-2.14
O 0.5000 0.5000 0.5000  4 Mg 2.12, 2 Co 2.13
O 0.0000 0.2632 0.0000  5 Mg 2.02-2.16, 1 Ca 2.24
O 0.0000 0.7368 0.0000  5 Mg 2.02-2.16, 1 Ca 2.24
O 0.0000 0.2505 0.5000  5 Mg 2.10-2.13, 1 Co 2.12
O 0.0000 0.7495 0.5000  5 Mg 2.10-2.13, 1 Co 2.12

Values from the calculation:
Total DFT energy (no corrections) (eV/atom): -6.2716
SG: P4/mmm, No. 123

=====

# CaMg14CoO16

An optimized crystal structure of CaMg14CoO16 (PBEsol, Alexandria).

Cell: 4.2725 8.4944 8.5321 Å, 90.00 90.00 90.00°
Last column: nearest neighbours and their distance in Å.
Sites, in units of the cell vectors:
Ca 0.0000 0.0000 0.0000  6 O 2.14-2.24
Mg 0.0000 0.0000 0.5000  6 O 2.02-2.14
Mg 0.0000 0.5000 0.5000  6 O 2.08-2.14
Mg 0.5000 0.7435 0.0000  6 O 2.07-2.18
Mg 0.5000 0.2565 0.0000  6 O 2.07-2.18
Mg 0.5000 0.7490 0.5000  6 O 2.11-2.14
Mg 0.5000 0.2510 0.5000  6 O 2.11-2.14
Mg 0.5000 0.0000 0.7446  6 O 2.09-2.18
Mg 0.5000 0.5000 0.7506  6 O 2.12-2.14
Mg 0.5000 0.0000 0.2554  6 O 2.09-2.18
Mg 0.5000 0.5000 0.2494  6 O 2.12-2.14
Mg 0.0000 0.7459 0.7470  6 O 2.09-2.16
Mg 0.0000 0.2541 0.7470  6 O 2.09-2.16
Mg 0.0000 0.7459 0.2530  6 O 2.09-2.16
Mg 0.0000 0.2541 0.2530  6 O 2.09-2.16
Co 0.0000 0.5000 0.0000  6 O 2.01-2.18
O 0.0000 0.0000 0.7371  5 Mg 2.02-2.16, 1 Ca 2.24
O 0.0000 0.5000 0.7444  5 Mg 2.08-2.14, 1 Co 2.18
O 0.0000 0.0000 0.2629  5 Mg 2.02-2.16, 1 Ca 2.24
O 0.0000 0.5000 0.2556  5 Mg 2.08-2.14, 1 Co 2.18
O 0.5000 0.7496 0.7508  6 Mg 2.12-2.14
O 0.5000 0.2504 0.7508  6 Mg 2.12-2.14
O 0.5000 0.7496 0.2492  6 Mg 2.12-2.14
O 0.5000 0.2504 0.2492  6 Mg 2.12-2.14
O 0.5000 0.0000 0.0000  2 Ca 2.14, 4 Mg 2.18
O 0.5000 0.5000 0.0000  4 Mg 2.07-2.13, 2 Co 2.14
O 0.5000 0.0000 0.5000  6 Mg 2.09-2.14
O 0.5000 0.5000 0.5000  6 Mg 2.11-2.14
O 0.0000 0.7370 0.0000  1 Co 2.01, 4 Mg 2.14-2.16, 1 Ca 2.23
O 0.0000 0.2630 0.0000  1 Co 2.01, 4 Mg 2.14-2.16, 1 Ca 2.23
O 0.0000 0.7480 0.5000  6 Mg 2.11-2.14
O 0.0000 0.2520 0.5000  6 Mg 2.11-2.14

Values from the calculation:
Total DFT energy (no corrections) (eV/atom): -6.2720
SG: Pmmm, No. 47

=====

# CaMg30CoO32

An optimized crystal structure of CaMg30CoO32 (PBEsol, Alexandria).

Cell: 8.4626 8.4868 8.4868 Å, 90.00 90.00 90.00°
Last column: nearest neighbours and their distance in Å.
Sites, in units of the cell vectors:
Ca 0.0000 0.0000 0.0000  6 O 2.22-2.23
Mg 0.0000 0.5000 0.0000  6 O 2.02-2.14
Mg 0.5000 0.5000 0.0000  6 O 2.08-2.13
Mg 0.0000 0.0000 0.5000  6 O 2.02-2.14
Mg 0.5000 0.0000 0.5000  6 O 2.08-2.13
Mg 0.0000 0.5000 0.5000  6 O 2.10-2.12
Mg 0.5000 0.5000 0.5000  6 O 2.11-2.12
Mg 0.2536 0.2531 0.0000  6 O 2.09-2.15
Mg 0.7464 0.2531 0.0000  6 O 2.09-2.15
Mg 0.2536 0.7469 0.0000  6 O 2.09-2.15
Mg 0.7464 0.7469 0.0000  6 O 2.09-2.15
Mg 0.2506 0.2503 0.5000  6 O 2.11-2.13
Mg 0.7494 0.2503 0.5000  6 O 2.11-2.13
Mg 0.2506 0.7497 0.5000  6 O 2.11-2.13
Mg 0.7494 0.7497 0.5000  6 O 2.11-2.13
Mg 0.2536 0.0000 0.2531  6 O 2.09-2.15
Mg 0.7464 0.0000 0.2531  6 O 2.09-2.15
Mg 0.2506 0.5000 0.2503  6 O 2.11-2.13
Mg 0.7494 0.5000 0.2503  6 O 2.11-2.13
Mg 0.2536 0.0000 0.7469  6 O 2.09-2.15
Mg 0.7464 0.0000 0.7469  6 O 2.09-2.15
Mg 0.2506 0.5000 0.7497  6 O 2.11-2.13
Mg 0.7494 0.5000 0.7497  6 O 2.11-2.13
Mg 0.0000 0.2528 0.2528  6 O 2.10-2.15
Mg 0.5000 0.2492 0.2492  6 O 2.12-2.13
Mg 0.0000 0.7472 0.2528  6 O 2.10-2.15
Mg 0.5000 0.7508 0.2492  6 O 2.12-2.13
Mg 0.0000 0.2528 0.7472  6 O 2.10-2.15
Mg 0.5000 0.2492 0.7508  6 O 2.12-2.13
Mg 0.0000 0.7472 0.7472  6 O 2.10-2.15
Mg 0.5000 0.7508 0.7508  6 O 2.12-2.13
Co 0.5000 0.0000 0.0000  6 O 2.00-2.17
O 0.0000 0.0000 0.2617  5 Mg 2.02-2.15, 1 Ca 2.22
O 0.5000 0.0000 0.2553  5 Mg 2.08-2.12, 1 Co 2.17
O 0.0000 0.5000 0.2520  6 Mg 2.10-2.14
O 0.5000 0.5000 0.2507  6 Mg 2.11-2.13
O 0.0000 0.0000 0.7383  5 Mg 2.02-2.15, 1 Ca 2.22
O 0.5000 0.0000 0.7447  5 Mg 2.08-2.12, 1 Co 2.17
O 0.0000 0.5000 0.7480  6 Mg 2.10-2.14
O 0.5000 0.5000 0.7493  6 Mg 2.11-2.13
O 0.2500 0.2495 0.2495  6 Mg 2.12-2.13
O 0.7500 0.2495 0.2495  6 Mg 2.12-2.13
O 0.2500 0.7505 0.2495  6 Mg 2.12-2.13
O 0.7500 0.7505 0.2495  6 Mg 2.12-2.13
O 0.2500 0.2495 0.7505  6 Mg 2.12-2.13
O 0.7500 0.2495 0.7505  6 Mg 2.12-2.13
O 0.2500 0.7505 0.7505  6 Mg 2.12-2.13
O 0.7500 0.7505 0.7505  6 Mg 2.12-2.13
O 0.2631 0.0000 0.0000  1 Co 2.00, 4 Mg 2.15, 1 Ca 2.23
O 0.7369 0.0000 0.0000  1 Co 2.00, 4 Mg 2.15, 1 Ca 2.23
O 0.2517 0.5000 0.0000  6 Mg 2.10-2.13
O 0.7483 0.5000 0.0000  6 Mg 2.10-2.13
O 0.2517 0.0000 0.5000  6 Mg 2.10-2.13
O 0.7483 0.0000 0.5000  6 Mg 2.10-2.13
O 0.2504 0.5000 0.5000  6 Mg 2.11-2.12
O 0.7496 0.5000 0.5000  6 Mg 2.11-2.12
O 0.0000 0.2617 0.0000  5 Mg 2.02-2.15, 1 Ca 2.22
O 0.5000 0.2553 0.0000  5 Mg 2.08-2.12, 1 Co 2.17
O 0.0000 0.7383 0.0000  5 Mg 2.02-2.15, 1 Ca 2.22
O 0.5000 0.7447 0.0000  5 Mg 2.08-2.12, 1 Co 2.17
O 0.0000 0.2520 0.5000  6 Mg 2.10-2.14
O 0.5000 0.2507 0.5000  6 Mg 2.11-2.13
O 0.0000 0.7480 0.5000  6 Mg 2.10-2.14
O 0.5000 0.7493 0.5000  6 Mg 2.11-2.13

Values from the calculation:
Total DFT energy (no corrections) (eV/atom): -6.2519
SG: P4/mmm, No. 123

=====

# CaMgCoRe2

An optimized crystal structure of CaMgCoRe2 (PBEsol, Alexandria).

Cell: 4.4709 4.4709 4.7086 Å, 90.00 90.00 90.00°
Last column: nearest neighbours and their distance in Å.
Sites, in units of the cell vectors:
Re 0.0000 0.5000 0.0000  2 Co 2.24
Re 0.5000 0.0000 0.0000  2 Co 2.24
Ca 0.5000 0.5000 0.5000  4 Mg 3.16, 8 Re 3.25
Co 0.0000 0.0000 0.0000  4 Re 2.24, 2 Mg 2.35
Mg 0.0000 0.0000 0.5000  2 Co 2.35

Values from the calculation:
ΔE_f (eV/atom): 0.933
SG: P4/mmm, No. 123

=====

# Ca2YMgCo

An optimized crystal structure of Ca2YMgCo (PBEsol, Alexandria).

Cell: 5.6046 5.6046 5.6722 Å, 90.00 90.00 90.00°
Last column: nearest neighbours and their distance in Å.
Sites, in units of the cell vectors:
Y 0.0000 0.0000 0.5000  2 Mg 2.84
Ca 0.0000 0.5000 0.0000  2 Mg 2.80
Ca 0.5000 0.0000 0.0000  2 Mg 2.80
Co 0.5000 0.5000 0.5000  4 Y 3.96, 8 Ca 3.99
Mg 0.0000 0.0000 0.0000  4 Ca 2.80, 2 Y 2.84

Values from the calculation:
ΔE_f (eV/atom): 1.180
SG: P4/mmm, No. 123

=====

# Ca3MnCoO6

An optimized crystal structure of Ca3MnCoO6 (PBEsol, Alexandria).

Cell: 6.2776 6.2776 6.2776 Å, 92.43 92.43 92.43°
Last column: nearest neighbours and their distance in Å.
Sites, in units of the cell vectors:
Ca 0.6135 0.8865 0.2500  8 O 2.32-2.59
Ca 0.2500 0.6135 0.8865  8 O 2.32-2.59
Ca 0.8865 0.2500 0.6135  8 O 2.32-2.59
Ca 0.3865 0.1135 0.7500  8 O 2.32-2.59
Ca 0.7500 0.3865 0.1135  8 O 2.32-2.59
Ca 0.1135 0.7500 0.3865  8 O 2.32-2.59
Mn 0.5000 0.5000 0.5000  6 O 1.90
Mn 0.0000 0.0000 0.0000  6 O 1.90
Co 0.7500 0.7500 0.7500  6 O 2.11
Co 0.2500 0.2500 0.2500  6 O 2.11
O 0.2879 0.9557 0.0852  1 Mn 1.90, 1 Co 2.11
O 0.0852 0.2879 0.9557  1 Mn 1.90, 1 Co 2.11
O 0.9557 0.0852 0.2879  1 Mn 1.90, 1 Co 2.11
O 0.4557 0.7879 0.5852  1 Mn 1.90, 1 Co 2.11
O 0.5852 0.4557 0.7879  1 Mn 1.90, 1 Co 2.11
O 0.7879 0.5852 0.4557  1 Mn 1.90, 1 Co 2.11
O 0.4148 0.5443 0.2121  1 Mn 1.90, 1 Co 2.11
O 0.2121 0.4148 0.5443  1 Mn 1.90, 1 Co 2.11
O 0.5443 0.2121 0.4148  1 Mn 1.90, 1 Co 2.11
O 0.0443 0.9148 0.7121  1 Mn 1.90, 1 Co 2.11
O 0.7121 0.0443 0.9148  1 Mn 1.90, 1 Co 2.11
O 0.9148 0.7121 0.0443  1 Mn 1.90, 1 Co 2.11

Values from the calculation:
Total DFT energy (no corrections) (eV/atom): -7.3236
SG: R-3c, No. 167